16
Lattice="6.5322 0.0000 0.0000 0.0000 6.5322 0.0000 0.0000 0.0000 6.5322" Properties=species:S:1:pos:R:3 comment="V2MoF, relaxed, DFT PBE with a Hubbard U" dos_ef_per_ev_cell=8.2 e_above_lowest_polymorph_ev_per_atom=0.4943 final_energy_ev_per_atom=-5.061 space_group="Fm-3m, No. 225" pbc="T T T"
V 1.6330 1.6330 1.6330
V 1.6330 1.6330 4.8991
V 1.6330 4.8991 1.6330
V 1.6330 4.8991 4.8991
V 4.8991 1.6330 1.6330
V 4.8991 1.6330 4.8991
V 4.8991 4.8991 1.6330
V 4.8991 4.8991 4.8991
Mo 0.0000 0.0000 0.0000
Mo 0.0000 3.2661 3.2661
Mo 3.2661 0.0000 3.2661
Mo 3.2661 3.2661 0.0000
F 0.0000 0.0000 3.2661
F 0.0000 3.2661 0.0000
F 3.2661 0.0000 0.0000
F 3.2661 3.2661 3.2661